Record 1
# Ac2CeDyTe5

A relaxed Ac2CeDyTe5 crystal (PBE-GGA, the Alexandria database).

abc: 5.5011 5.5011 11.9177
angles: 90.00 90.00 90.00
Each line ends with the local moment (μB).
Fractional positions:
1 Te 0.5000 0.5000 0.0000  -0.01
2 Te 0.0000 0.5000 0.5000  0.00
3 Ce 0.0000 0.0000 0.0000  1.25
4 Ac 0.5000 0.5000 0.3004  0.04
5 Te 0.0000 0.0000 0.2501  -0.01
6 Te 0.5000 0.0000 0.5000  0.00
7 Ac 0.5000 0.5000 0.6996  0.04
8 Te 0.0000 0.0000 0.7499  -0.01
9 Dy 0.0000 0.0000 0.5000  0.03

Results
DOS at the Fermi energy = 1.721 states/eV per atom
energy relative to the elements, uncorrected = -1015 meV/atom
theoretical density = 6.42 g/cm3
total DFT energy (no corrections) = -4.84 eV/atom

Record 2
# Pr6Zn5Hg

A relaxed Pr6Zn5Hg crystal (PBE-GGA, the Alexandria database).

abc: 5.2819 7.4935 8.3806
angles: 90.00 71.56 90.00
Fractional positions:
1 Pr 0.8304 0.2561 0.3390
2 Hg 0.0000 0.0000 0.0000
3 Pr 0.5000 0.7413 0.0000
4 Zn 0.0000 0.5000 0.0000
5 Pr 0.1696 0.7439 0.6610
6 Zn 0.3330 0.5000 0.3333
7 Pr 0.1696 0.2561 0.6610
8 Pr 0.8304 0.7439 0.3390
9 Zn 0.3310 0.0000 0.3382
10 Zn 0.6670 0.5000 0.6667
11 Pr 0.5000 0.2587 0.0000
12 Zn 0.6690 0.0000 0.6618

Results
DOS at the Fermi energy = 1.142 states/eV per atom
ΔE_f = -3.90 eV per formula unit
theoretical density = 7.25 g/cm3
total DFT energy (no corrections) = -3.27 eV/atom

Record 3
# TbGa5Co3

A relaxed TbGa5Co3 crystal (PBE-GGA, the Alexandria database).

abc: 6.2655 6.2655 11.3998
angles: 59.38 59.38 85.57
Fractional positions:
1 Ga 0.5770 0.0376 0.6604
2 Co 0.3830 0.3830 0.1801
3 Ga 0.2773 0.7227 0.0000
4 Ga 0.6582 0.6582 0.1555
5 Co 0.0000 0.0000 0.5000
6 Ga 0.4230 0.9624 0.3396
7 Ga 0.3099 0.3099 0.4428
8 Co 0.6170 0.6170 0.8199
9 Ga 0.7227 0.2773 0.0000
10 Ga 0.3418 0.3418 0.8445
11 Tb 0.9471 0.9471 0.7962
12 Co 0.6455 0.6455 0.3710
13 Tb 0.0529 0.0529 0.2038
14 Ga 0.0376 0.5770 0.6604
15 Co 0.3545 0.3545 0.6290
16 Ga 0.6901 0.6901 0.5572
17 Co 0.0000 0.0000 0.0000
18 Ga 0.9624 0.4230 0.3396

Results
DOS at the Fermi energy = 0.563 states/eV per atom
ΔE_f = -1.70 eV per formula unit
theoretical density = 7.08 g/cm3
total DFT energy (no corrections) = -4.75 eV/atom

Record 4
# CsMgPdCl6

A relaxed CsMgPdCl6 crystal (PBE-GGA, the Alexandria database).

abc: 6.6076 6.4014 7.9142
angles: 89.05 88.11 58.91
Each line ends with the local moment (μB).
Fractional positions:
1 Cs 0.0073 0.9855 0.0000  0.00
2 Cl 0.9988 0.3753 0.3055  0.15
3 Cl 0.3603 0.0148 0.6720  0.01
4 Cl 0.3623 0.6265 0.3317  0.03
5 Cl 0.0111 0.6269 0.6682  0.03
6 Mg 0.6746 0.6499 0.4999  0.00
7 Cl 0.6256 0.3758 0.6946  0.15
8 Cl 0.6252 0.0143 0.3280  0.01
9 Pd 0.3345 0.3311 0.5000  0.51

Results
energy relative to the elements, uncorrected = -1244 meV/atom
theoretical density = 2.76 g/cm3
total DFT energy (no corrections) = -3.32 eV/atom

Record 5
# Sc2PaFeN4

A relaxed Sc2PaFeN4 crystal (PBE-GGA, the Alexandria database).

abc: 3.2118 5.6810 10.7832
angles: 90.00 90.00 106.42
Fractional positions:
1 Pa 0.8933 0.7866 0.2500
2 Pa 0.1067 0.2134 0.7500
3 N 0.0000 0.0000 0.0000
4 Fe 0.1516 0.3032 0.2500
5 N 0.2746 0.5492 0.3733
6 Sc 0.3704 0.7409 0.5500
7 N 0.0000 0.0000 0.5000
8 N 0.4449 0.8898 0.7500
9 N 0.2746 0.5492 0.1267
10 N 0.7254 0.4508 0.6267
11 Fe 0.8484 0.6968 0.7500
12 N 0.7254 0.4508 0.8733
13 N 0.5551 0.1102 0.2500
14 Sc 0.6296 0.2591 0.4500
15 Sc 0.3704 0.7409 0.9500
16 Sc 0.6296 0.2591 0.0500

Results
DOS at the Fermi energy = 0.526 states/eV per atom
energy relative to the elements, uncorrected = -1343 meV/atom
theoretical density = 7.62 g/cm3
total DFT energy (no corrections) = -9.33 eV/atom

Record 6
# Cd8HgAu6

A relaxed Cd8HgAu6 crystal (PBE-GGA, the Alexandria database).

abc: 7.4456 7.4456 7.4456
angles: 66.47 66.47 66.47
Fractional positions:
1 Cd 0.8829 0.2151 0.5494
2 Au 0.7174 0.0542 0.3904
3 Au 0.9458 0.6096 0.2826
4 Hg 0.0000 0.0000 0.0000
5 Cd 0.6667 0.6667 0.6667
6 Cd 0.3333 0.3333 0.3333
7 Cd 0.2151 0.5494 0.8829
8 Au 0.0542 0.3904 0.7174
9 Cd 0.5494 0.8829 0.2151
10 Cd 0.1171 0.7849 0.4506
11 Cd 0.7849 0.4506 0.1171
12 Au 0.3904 0.7174 0.0542
13 Au 0.2826 0.9458 0.6096
14 Au 0.6096 0.2826 0.9458
15 Cd 0.4506 0.1171 0.7849

Results
DOS at the Fermi energy = 0.436 states/eV per atom
ΔE_f = -2.26 eV per formula unit
theoretical density = 11.39 g/cm3
total DFT energy (no corrections) = -1.97 eV/atom

Record 7
# SrBeCo2

A relaxed SrBeCo2 crystal (PBE-GGA, the Alexandria database).

abc: 3.7413 3.1291 6.0730
angles: 75.35 90.00 90.00
Each line ends with the local moment (μB).
Fractional positions:
1 Co 0.0000 0.7994 0.0326  1.46
2 Co 0.5000 0.2642 0.0996  1.57
3 Sr 0.0000 0.5469 0.5239  -0.02
4 Be 0.5000 0.8896 0.8438  -0.04

Results
DOS at the Fermi energy = 0.878 states/eV per atom
ΔE_f = 1.49 eV per formula unit
theoretical density = 5.18 g/cm3
total DFT energy (no corrections) = -4.53 eV/atom

Record 8
# LiCeAgBr6

A relaxed LiCeAgBr6 crystal (PBE-GGA, the Alexandria database).

abc: 6.9915 6.9915 12.9182
angles: 90.00 90.00 120.00
Fractional positions:
1 Br 0.0035 0.3446 0.1272
2 Br 0.3446 0.3411 0.8728
3 Br 0.6554 0.9965 0.3728
4 Br 0.6589 0.0035 0.8728
5 Br 0.9965 0.3411 0.6272
6 Br 0.6554 0.6589 0.1272
7 Ag 0.0000 0.0000 0.0000
8 Li 0.3333 0.6667 0.2500
9 Li 0.6667 0.3333 0.7500
10 Ag 0.0000 0.0000 0.5000
11 Br 0.6589 0.6554 0.6272
12 Br 0.9965 0.6554 0.8728
13 Ce 0.3333 0.6667 0.7500
14 Br 0.3411 0.9965 0.1272
15 Br 0.3446 0.0035 0.6272
16 Br 0.0035 0.6589 0.3728
17 Br 0.3411 0.3446 0.3728
18 Ce 0.6667 0.3333 0.2500

Results
energy relative to the elements, uncorrected = -1276 meV/atom
theoretical density = 4.46 g/cm3
total DFT energy (no corrections) = -3.58 eV/atom

Record 9
# NaLiIn14

A relaxed NaLiIn14 crystal (PBE-GGA, the Alexandria database).

abc: 6.7530 6.7530 9.1790
angles: 90.00 90.00 86.37
Fractional positions:
1 In 0.1268 0.1268 0.7467
2 In 0.8750 0.3750 0.5000
3 Li 0.3750 0.3750 0.5000
4 In 0.8750 0.3750 0.0000
5 In 0.8750 0.8750 0.0000
6 In 0.3750 0.8750 0.0000
7 In 0.1268 0.1268 0.2533
8 In 0.3750 0.8750 0.5000
9 In 0.6232 0.6232 0.7467
10 In 0.1291 0.6209 0.2511
11 Na 0.8750 0.8750 0.5000
12 In 0.6209 0.1291 0.7489
13 In 0.3750 0.3750 0.0000
14 In 0.1291 0.6209 0.7489
15 In 0.6209 0.1291 0.2511
16 In 0.6232 0.6232 0.2533

Results
DOS at the Fermi energy = 0.305 states/eV per atom
ΔE_f = -0.59 eV per formula unit
theoretical density = 6.51 g/cm3
total DFT energy (no corrections) = -2.64 eV/atom

Record 10
# Pm2YHoSc

A relaxed Pm2YHoSc crystal (PBE-GGA, the Alexandria database).

abc: 7.1463 8.1667 7.0070
angles: 125.64 90.00 90.00
Fractional positions:
1 Sc 0.7500 0.0167 0.0335
2 Pm 0.0000 0.3008 0.0000
3 Pm 0.0000 0.6992 0.0000
4 Pm 0.5000 0.3008 0.0000
5 Ho 0.7500 0.2776 0.5553
6 Y 0.7500 0.7450 0.4900
7 Y 0.2500 0.2550 0.5100
8 Pm 0.5000 0.6992 0.0000
9 Ho 0.2500 0.7224 0.4447
10 Sc 0.2500 0.9833 0.9665

Results
DOS at the Fermi energy = 1.388 states/eV per atom
ΔE_f = 1.81 eV per formula unit
theoretical density = 5.88 g/cm3
total DFT energy (no corrections) = -5.01 eV/atom

Record 11
# Ru3Cl

A relaxed Ru3Cl crystal (PBE-GGA, the Alexandria database).

abc: 5.3199 5.3199 4.6048
angles: 90.00 90.00 97.69
Fractional positions:
1 Cl 0.3930 0.6070 0.2500
2 Ru 0.0421 0.6151 0.7500
3 Ru 0.9579 0.3849 0.2500
4 Ru 0.3849 0.9579 0.7500
5 Ru 0.0880 0.9120 0.2500
6 Ru 0.9120 0.0880 0.7500
7 Ru 0.6151 0.0421 0.2500
8 Cl 0.6070 0.3930 0.7500

Results
DOS at the Fermi energy = 1.189 states/eV per atom
energy relative to the elements, uncorrected = 734 meV/atom
theoretical density = 8.71 g/cm3
total DFT energy (no corrections) = -6.68 eV/atom
energy above the most stable polymorph in this dataset = 312 meV/atom